DFT (PBE-GGA) results for Pr5Dy6Mg after structural relaxation.

Results
Space group ... Immm, No. 71

a = 5.1096 Å, b = 9.4845 Å, c = 9.4845 Å
α = 106.44°, β = 105.59°, γ = 105.59°
Fractional coordinates of all 12 atoms:
Pr 0.5000 0.1663 0.8337
Pr 0.0000 0.3333 0.6667
Pr 0.5000 0.5000 0.5000
Pr 0.0000 0.6667 0.3333
Pr 0.5000 0.8337 0.1663
Mg 0.0000 0.0000 0.0000
Dy 0.2479 0.0821 0.4136
Dy 0.7521 0.5864 0.9179
Dy 0.7500 0.2499 0.2499
Dy 0.2500 0.7501 0.7501
Dy 0.2479 0.4136 0.0821
Dy 0.7521 0.9179 0.5864

***

DFT (PBE-GGA) results for PrDy3Mg2 after structural relaxation.

Results
Space group ... P4/mmm, No. 123

a = 3.6988 Å, b = 3.6988 Å, c = 12.9340 Å
α = 90.00°, β = 90.00°, γ = 90.00°
Fractional coordinates of all 6 atoms:
Pr 0.5000 0.5000 0.5000
Dy 0.0000 0.0000 0.0000
Dy 0.0000 0.0000 0.6957
Dy 0.0000 0.0000 0.3043
Mg 0.5000 0.5000 0.8495
Mg 0.5000 0.5000 0.1505

***

Calculated total magnetization in order - 0.000, 0.000 μB per cell
Calculated DOS(E_F) in order - 17.0, 8.2 states/eV/f.u.
Calculated ΔH_f (0 K) in order - 0.0242, -0.0432 eV per atom